Computed, not measured: a relaxed structure of ZnGe2Ir at the PBE level of DFT.

Size of the total moment, μB per formula unit: 0.0
Uncorrected energy, eV per formula unit: -18.6

```
16
Lattice="6.3252 0.0000 0.0000 0.0000 6.3252 0.0000 0.0000 0.0000 6.3252" Properties=species:S:1:pos:R:3 pbc="T T T"
Zn 0.0000 0.0000 0.0000
Zn 0.0000 3.1626 3.1626
Zn 3.1626 0.0000 3.1626
Zn 3.1626 3.1626 0.0000
Ge 0.0000 0.0000 3.1626
Ge 0.0000 3.1626 0.0000
Ge 1.5813 1.5813 4.7439
Ge 1.5813 4.7439 1.5813
Ge 3.1626 0.0000 0.0000
Ge 3.1626 3.1626 3.1626
Ge 4.7439 1.5813 1.5813
Ge 4.7439 4.7439 4.7439
Ir 1.5813 1.5813 1.5813
Ir 1.5813 4.7439 4.7439
Ir 4.7439 1.5813 4.7439
Ir 4.7439 4.7439 1.5813
```


Computed, not measured: a relaxed structure of NaNdZnTe3 at the PBE level of DFT.

Size of the total moment, μB per formula unit: 0.0
Uncorrected energy, eV per formula unit: -22.3

```
24
Lattice="8.9300 0.0000 0.0000 0.0000 4.4825 0.0000 0.0000 0.0000 18.3195" Properties=species:S:1:pos:R:3 pbc="T T T"
Na 0.5252 1.1206 3.9941
Na 3.9398 3.3618 13.1538
Na 4.9902 1.1206 5.1657
Na 8.4048 3.3618 14.3254
Nd 2.0883 1.1206 17.4371
Nd 2.3767 3.3618 8.2773
Nd 6.5533 1.1206 10.0422
Nd 6.8417 3.3618 0.8824
Zn 1.0439 1.1206 11.8636
Zn 3.4211 3.3618 2.7039
Zn 5.5089 1.1206 15.6156
Zn 7.8861 3.3618 6.4558
Te 0.0147 3.3618 10.6854
Te 1.1396 3.3618 1.1465
Te 1.8686 1.1206 14.3226
Te 2.5964 3.3618 5.1629
Te 3.3254 1.1206 10.3062
Te 4.4503 1.1206 1.5256
Te 4.4797 3.3618 16.7938
Te 5.6046 3.3618 8.0133
Te 6.3336 1.1206 13.1566
Te 7.0614 3.3618 3.9969
Te 7.7904 1.1206 17.1730
Te 8.9153 1.1206 7.6341
```


Computed, not measured: a relaxed structure of Nd4CBr3Cl2 at the PBE level of DFT.

Size of the total moment, μB per formula unit: 0.2
Uncorrected energy, eV per formula unit: -52.4

```
10
Lattice="8.9187 -1.9716 0.0000 8.9187 1.9716 0.0000 -2.0156 0.0000 8.1809" Properties=species:S:1:pos:R:3 pbc="T T T"
Nd -0.5449 0.0000 2.4142
Nd 5.4806 0.0000 3.4353
Nd 10.3412 0.0000 4.7456
Nd 16.3667 0.0000 5.7667
C 7.9109 0.0000 4.0905
Br 1.2835 0.0000 6.9381
Br 8.9187 0.0000 0.0000
Br 14.5383 0.0000 1.2428
Cl 2.3456 0.0000 2.8602
Cl 13.4762 0.0000 5.3207
```


- Number 2 is which compound?
  NaNdZnTe3


- Number 2 is which compound?
  NaNdZnTe3